# MoHSe

A relaxed structure of MoHSe (GGA-PBE, Alexandria).

Summary:
**Calculated total energy**: -6.159 eV per atom
**ρ**: 5.8 g/cm3

a b c (Å): 3.168 4.807 6.791
angles (deg): 104.18 90.59 90.04
Element x y z (fractional)
Mo 0.249 0.256 0.487
Mo 0.751 0.744 0.513
H 0.247 0.853 0.364
H 0.753 0.147 0.636
Se 0.257 0.682 0.785
Se 0.743 0.318 0.215